# 1
Entry from Alexandria: Mg2TcRu after structural relaxation (PBE).

Results
E above lowest polymorph in meV/atom: 104.5
Space group: I-4m2

abc: 4.4406 4.4406 4.4406
angles: 120.11 120.11 89.81
Fractional positions:
1 Mg 0.0000 0.0000 0.0000
2 Mg 0.7500 0.2500 0.5000
3 Tc 0.5000 0.5000 0.0000
4 Ru 0.2500 0.7500 0.5000

***

# 2
Entry from Alexandria: MgTc2Ru after structural relaxation (PBE).

Results
Space group: F-43m

abc: 4.3673 4.3673 4.3673
angles: 60.00 60.00 60.00
Fractional positions:
1 Mg 0.0000 0.0000 0.0000
2 Tc 0.2500 0.2500 0.2500
3 Tc 0.5000 0.5000 0.5000
4 Ru 0.7500 0.7500 0.7500

***

# 3
Entry from Alexandria: MgTc2Ru after structural relaxation (PBE).

Results
Space group: P4mm

abc: 3.0378 3.0378 6.5069
angles: 90.00 90.00 90.00
Fractional positions:
1 Mg 0.0000 0.0000 0.0000
2 Tc 0.0000 0.0000 0.5030
3 Tc 0.5000 0.5000 0.7257
4 Ru 0.5000 0.5000 0.2517

***

no.,energy relative to the elements (eV/f.u.),D(E_F) (states/eV/cell)
1,0.30,3.2
2,0.60,3.6
3,0.50,2.9